Record 1
{
  "formula": "Pa5Te3As12",
  "functional": "GGA-PBE",
  "state": "relaxed",
  "magmom_total_mub_per_fu": 1.25,
  "sg": "Ia-3d (230)",
  "formation_energy_uncorrected_ev_per_atom": 0.00,
  "total_energy_ev_per_atom": -5.6358,
  "cell": [[-8.461, 8.461, 8.461], [8.461, -8.461, 8.461], [8.461, 8.461, -8.461]],
  "species": ["Pa", "Pa", "Pa", "Pa", "Pa", "Pa", "Pa", "Pa", "Pa", "Pa", "Pa", "Pa", "Pa", "Pa", "Pa", "Pa", "Pa", "Pa", "Pa", "Pa", "Te", "Te", "Te", "Te", "Te", "Te", "Te", "Te", "Te", "Te", "Te", "Te", "As", "As", "As", "As", "As", "As", "As", "As", "As", "As", "As", "As", "As", "As", "As", "As", "As", "As", "As", "As", "As", "As", "As", "As", "As", "As", "As", "As", "As", "As", "As", "As", "As", "As", "As", "As", "As", "As", "As", "As", "As", "As", "As", "As", "As", "As", "As", "As"],
  "fractional_positions": [[0.000, 0.000, 0.000], [0.000, 0.000, 0.500], [0.000, 0.500, 0.000], [0.000, 0.500, 0.500], [0.125, 0.750, 0.875], [0.125, 0.875, 0.250], [0.250, 0.125, 0.875], [0.250, 0.625, 0.375], [0.375, 0.250, 0.625], [0.375, 0.625, 0.750], [0.500, 0.000, 0.000], [0.500, 0.000, 0.500], [0.500, 0.500, 0.000], [0.500, 0.500, 0.500], [0.625, 0.375, 0.250], [0.625, 0.750, 0.375], [0.750, 0.375, 0.625], [0.750, 0.875, 0.125], [0.875, 0.125, 0.750], [0.875, 0.250, 0.125], [0.125, 0.250, 0.375], [0.125, 0.375, 0.750], [0.250, 0.375, 0.125], [0.250, 0.875, 0.625], [0.375, 0.125, 0.250], [0.375, 0.750, 0.125], [0.625, 0.250, 0.875], [0.625, 0.875, 0.750], [0.750, 0.125, 0.375], [0.750, 0.625, 0.875], [0.875, 0.625, 0.250], [0.875, 0.750, 0.625], [0.035, 0.220, 0.077], [0.035, 0.315, 0.957], [0.043, 0.577, 0.358], [0.043, 0.965, 0.685], [0.077, 0.035, 0.220], [0.077, 0.543, 0.858], [0.142, 0.720, 0.685], [0.142, 0.923, 0.457], [0.185, 0.220, 0.642], [0.185, 0.465, 0.543], [0.220, 0.077, 0.035], [0.220, 0.642, 0.185], [0.280, 0.315, 0.858], [0.280, 0.465, 0.423], [0.315, 0.858, 0.280], [0.315, 0.957, 0.035], [0.358, 0.043, 0.577], [0.358, 0.815, 0.780], [0.423, 0.280, 0.465], [0.423, 0.642, 0.957], [0.457, 0.142, 0.923], [0.457, 0.815, 0.535], [0.465, 0.423, 0.280], [0.465, 0.543, 0.185], [0.535, 0.457, 0.815], [0.535, 0.577, 0.720], [0.543, 0.185, 0.465], [0.543, 0.858, 0.077], [0.577, 0.358, 0.043], [0.577, 0.720, 0.535], [0.642, 0.185, 0.220], [0.642, 0.957, 0.423], [0.685, 0.043, 0.965], [0.685, 0.142, 0.720], [0.720, 0.535, 0.577], [0.720, 0.685, 0.142], [0.780, 0.358, 0.815], [0.780, 0.923, 0.965], [0.815, 0.535, 0.457], [0.815, 0.780, 0.358], [0.858, 0.077, 0.543], [0.858, 0.280, 0.315], [0.923, 0.457, 0.142], [0.923, 0.965, 0.780], [0.957, 0.035, 0.315], [0.957, 0.423, 0.642], [0.965, 0.685, 0.043], [0.965, 0.780, 0.923]]
}

Record 2
{
  "formula": "Co2MoAu",
  "functional": "GGA-PBE",
  "state": "relaxed",
  "magmom_total_mub_per_fu": 2.74,
  "e_form_ev_per_fu": 1.234,
  "sg": "R3m (160)",
  "total_energy_ev_per_atom": -6.7716,
  "cell": [[1.365, 0.788, 8.770], [-1.365, 0.788, 8.770], [0.000, -1.576, 8.770]],
  "species": ["Co", "Co", "Mo", "Au"],
  "fractional_positions": [[0.000, 0.000, 0.000], [0.262, 0.262, 0.262], [0.516, 0.516, 0.516], [0.754, 0.754, 0.754]]
}

Record 3
{
  "formula": "LiY2VPt",
  "functional": "GGA-PBE",
  "state": "relaxed",
  "magmom_total_mub_per_fu": 3.26,
  "e_form_ev_per_fu": 1.607,
  "sg": "P4/mmm (123)",
  "total_energy_ev_per_atom": -5.6788,
  "cell": [[5.194, 0.000, 0.000], [0.000, 5.194, 0.000], [0.000, 0.000, 4.134]],
  "species": ["Li", "Y", "Y", "V", "Pt"],
  "fractional_positions": [[0.000, 0.000, 0.000], [0.000, 0.500, 0.000], [0.500, 0.000, 0.000], [0.500, 0.500, 0.500], [0.000, 0.000, 0.500]]
}

Record 4
{
  "formula": "RbCo3N",
  "functional": "GGA-PBE",
  "state": "relaxed",
  "magmom_total_mub_per_fu": 5.00,
  "sg": "Pm-3m (221)",
  "formation_energy_uncorrected_ev_per_atom": 0.94,
  "total_energy_ev_per_atom": -5.1839,
  "cell": [[4.106, 0.000, 0.000], [0.000, 4.106, 0.000], [0.000, 0.000, 4.106]],
  "species": ["Rb", "Co", "Co", "Co", "N"],
  "fractional_positions": [[0.000, 0.000, 0.000], [0.000, 0.500, 0.500], [0.500, 0.000, 0.500], [0.500, 0.500, 0.000], [0.500, 0.500, 0.500]]
}